PBE LuNpSc, relaxed; E = -22.78 eV for the cell shown; energy above the most stable polymorph in this dataset = 30 meV per atom
1.0
3.2402 0.0000 0.0000
0.0000 3.2402 0.0000
-1.6201 -1.6201 7.2479
Np Sc Lu
1 1 1
direct
0.6706 0.6706 0.3412
0.3266 0.3266 0.6531
0.0029 0.0029 0.0057

***

PBE LuNpSc, relaxed; E = -22.87 eV for the cell shown; energy above the most stable polymorph in this dataset = 0 meV per atom
1.0
3.2419 0.0000 0.0000
-1.6210 2.8076 0.0000
0.0000 0.0000 8.2672
Lu Sc Np
1 1 1
direct
0.6667 0.3333 0.3349
0.0000 0.0000 0.9921
0.3333 0.6667 0.6729

***

PBE LuNpSc2, relaxed; E = -29.06 eV for the cell shown
1.0
3.2464 0.0000 0.0000
0.0000 3.2464 0.0000
0.0000 0.0000 9.5257
Lu Sc Np
1 2 1
direct
0.5000 0.5000 0.5000
0.0000 0.0000 0.7630
0.0000 0.0000 0.2370
0.5000 0.5000 0.0000

***

PBE LuNpSi2, relaxed; E = -28.80 eV for the cell shown; ΔE_f (raw) = -123 meV/atom
1.0
-1.4041 0.5703 -3.6330
-2.5978 -2.5333 -1.5263
-6.4865 3.0766 0.8573
Si Np Lu
2 1 1
direct
0.7492 0.7492 0.7525
0.2508 0.2508 0.2475
0.0000 0.0000 0.0000
0.5000 0.5000 0.5000